(1)
Sm2ZnSb4 after structural relaxation. Source: the Alexandria database, functional GGA-PBE.

For the electronic total energy, the calculation gives -4.59 eV per atom. The mass density comes out at 7406 kg/m³. For the calculated volume, the calculation gives 191.30 Å³/cell. The calculation puts the formation energy (no corrections) at -0.708 eV per atom.

The structure belongs to space group P-4m2 (No. 115); the cell edges are 4.382, 4.382 and 9.962 Å and the angles 90.00°, 90.00° and 90.00°. The inequivalent atoms are Sm at (0.000, 0.500, 0.249), Zn at (0.500, 0.500, 0.500), Sb at (0.000, 0.000, 0.000), Sb at (0.000, 0.500, 0.657) and Sb at (0.500, 0.500, 0.000).

***

(2)
SmZn2Sb after structural relaxation. Source: the Alexandria database, functional GGA-PBE.

For the electronic total energy, the calculation gives -3.14 eV per atom. The mass density comes out at 7167 kg/m³. For the calculated volume, the calculation gives 186.72 Å³/cell. The calculation puts the formation energy (no corrections) at -0.290 eV per atom.

The structure belongs to space group C2/m (No. 12); the cell edges are 7.737, 4.488 and 5.975 Å and the angles 90.00°, 115.85° and 90.00°. The inequivalent atoms are Sm at (0.000, 0.000, 0.000), Zn at (0.236, 0.000, 0.708) and Sb at (0.000, 0.500, 0.500).

***

(3)
SmZn2Sb after structural relaxation. Source: the Alexandria database, functional GGA-PBE.

For the electronic total energy, the calculation gives -3.28 eV per atom. The mass density comes out at 7490 kg/m³. For the calculated volume, the calculation gives 89.33 Å³/cell. The calculation puts the formation energy (no corrections) at -0.429 eV per atom.

The structure belongs to space group P4/mmm (No. 123); the cell edges are 4.412, 4.412 and 4.590 Å and the angles 90.00°, 90.00° and 90.00°. The inequivalent atoms are Sm at (0.000, 0.000, 0.000), Zn at (0.000, 0.500, 0.500) and Sb at (0.500, 0.500, 0.000).

***

Number 1: DOS at the Fermi energy 2.53 states/eV per cell. Number 2: DOS at the Fermi energy 2.03 states/eV per cell. Number 3: DOS at the Fermi energy 2.00 states/eV per cell.